Below is crystalline Gd2BeNi at its relaxed geometry, with properties calculated at the PBE level.

Structure (POSCAR):
```
Gd2BeNi
1.0
4.8471 0.0000 0.0000
2.4236 4.1977 0.0000
2.4236 1.3992 3.9577
Gd Be Ni
2 1 1
direct
0.7500 0.7500 0.7500
0.2500 0.2500 0.2500
0.5000 0.5000 0.5000
0.0000 0.0000 0.0000
```

Properties
DFT formation energy (eV per atom): -0.092
DOS at the Fermi energy (states/eV/atom): 0.727
ΔE to the lowest computed polymorph (meV/atom): 19

---

Below is crystalline HoH12Rh6 at its relaxed geometry, with properties calculated at the PBE level.

Structure (POSCAR):
```
HoH12Rh6
1.0
5.2288 0.5014 -1.4602
-2.0382 4.8413 -1.4602
0.2994 0.5014 5.4206
H Rh Ho
12 6 1
direct
0.3661 0.8671 0.0429
0.5494 0.8195 0.4309
0.1329 0.9571 0.6339
0.4506 0.1805 0.5691
0.9571 0.6339 0.1329
0.0429 0.3661 0.8671
0.6339 0.1329 0.9571
0.1805 0.5691 0.4506
0.5691 0.4506 0.1805
0.8195 0.4309 0.5494
0.8671 0.0429 0.3661
0.4309 0.5494 0.8195
0.2771 0.5799 0.1614
0.7229 0.4201 0.8386
0.5799 0.1614 0.2771
0.1614 0.2771 0.5799
0.8386 0.7229 0.4201
0.4201 0.8386 0.7229
0.0000 0.0000 0.0000
```

Properties
DFT total energy (eV/atom): -4.851
DOS at the Fermi energy (states/eV/atom): 0.289